No. 1
{"formula": "Pa3Ge2Os2", "functional": "PBE", "state": "relaxed", "ef_ev_per_atom": -0.469, "dos_ef_per_ev_cell": 41.136, "lattice": [[-0.190, 3.775, 4.086], [-3.182, -5.321, 4.768], [12.047, -3.666, 3.948]], "species": ["Pa", "Pa", "Pa", "Pa", "Pa", "Pa", "Pa", "Pa", "Pa", "Pa", "Pa", "Pa", "Ge", "Ge", "Ge", "Ge", "Ge", "Ge", "Ge", "Ge", "Os", "Os", "Os", "Os", "Os", "Os", "Os", "Os"], "frac_coords": [[0.160, 0.603, 0.099], [0.840, 0.397, 0.599], [0.840, 0.103, 0.401], [0.160, 0.897, 0.901], [0.840, 0.397, 0.901], [0.160, 0.603, 0.401], [0.160, 0.897, 0.599], [0.840, 0.103, 0.099], [0.381, 0.234, 0.250], [0.619, 0.766, 0.750], [0.619, 0.734, 0.250], [0.381, 0.266, 0.750], [0.310, 0.250, 0.000], [0.690, 0.750, 0.500], [0.690, 0.750, 0.000], [0.310, 0.250, 0.500], [0.892, 0.388, 0.250], [0.108, 0.612, 0.750], [0.108, 0.888, 0.250], [0.892, 0.112, 0.750], [0.629, 0.454, 0.095], [0.371, 0.546, 0.595], [0.371, 0.954, 0.405], [0.629, 0.046, 0.905], [0.371, 0.546, 0.905], [0.629, 0.454, 0.405], [0.629, 0.046, 0.595], [0.371, 0.954, 0.095]]}

=====

No. 2
{"formula": "PaGe3Os", "functional": "PBE", "state": "relaxed", "ef_ev_per_atom": -0.309, "dos_ef_per_ev_cell": 4.122, "lattice": [[-3.055, -3.665, -3.292], [4.415, -0.690, -3.330], [1.880, -4.676, 3.462]], "species": ["Pa", "Pa", "Ge", "Ge", "Ge", "Ge", "Ge", "Ge", "Os", "Os"], "frac_coords": [[0.410, 0.320, 0.701], [0.910, 0.033, 0.201], [0.364, 0.266, 0.201], [0.468, 0.861, 0.966], [0.968, 0.492, 0.466], [0.864, 0.087, 0.701], [0.968, 0.492, 0.935], [0.468, 0.861, 0.435], [0.168, 0.788, 0.701], [0.668, 0.565, 0.201]]}

=====

No. 3
{"formula": "Pa4Ge2Os", "functional": "PBE", "state": "relaxed", "ef_ev_per_atom": -0.335, "dos_ef_per_ev_cell": 26.472, "lattice": [[-0.207, 7.367, 1.384], [-3.063, -3.373, 5.956], [7.043, -2.333, -1.079]], "species": ["Pa", "Pa", "Pa", "Pa", "Pa", "Pa", "Pa", "Pa", "Ge", "Ge", "Ge", "Ge", "Os", "Os"], "frac_coords": [[0.025, 0.260, 0.383], [0.373, 0.490, 0.265], [0.877, 0.642, 0.617], [0.740, 0.123, 0.765], [0.358, 0.975, 0.235], [0.225, 0.108, 0.735], [0.510, 0.775, 0.883], [0.892, 0.627, 0.117], [0.515, 0.375, 0.640], [0.735, 0.875, 0.360], [0.625, 0.265, 0.140], [0.125, 0.485, 0.860], [0.250, 0.750, 0.500], [0.000, 0.000, 0.000]]}

=====

No. 4
{"formula": "Pa2Ge3Os", "functional": "PBE", "state": "relaxed", "ef_ev_per_atom": -0.158, "de_polymorph_mev_per_atom": 252.4, "dos_ef_per_ev_cell": 14.011, "lattice": [[5.499, 0.000, 0.000], [0.000, 6.949, 0.020], [0.000, -2.262, 6.570]], "species": ["Pa", "Pa", "Pa", "Pa", "Ge", "Ge", "Ge", "Ge", "Ge", "Ge", "Os", "Os"], "frac_coords": [[0.750, 0.432, 0.188], [0.250, 0.568, 0.812], [0.250, 0.812, 0.568], [0.750, 0.188, 0.432], [0.250, 0.359, 0.359], [0.750, 0.641, 0.641], [0.500, 0.188, 0.812], [0.000, 0.188, 0.812], [0.500, 0.812, 0.188], [0.000, 0.812, 0.188], [0.750, 0.952, 0.952], [0.250, 0.048, 0.048]]}

=====

No. 5
{"formula": "Pa6Ge3Os", "functional": "PBE", "state": "relaxed", "ef_ev_per_atom": -0.131, "dos_ef_per_ev_cell": 31.550, "lattice": [[3.760, 0.000, 0.000], [0.000, 11.921, 0.075], [0.000, -3.913, 10.852]], "species": ["Pa", "Pa", "Pa", "Pa", "Pa", "Pa", "Pa", "Pa", "Pa", "Pa", "Pa", "Pa", "Ge", "Ge", "Ge", "Ge", "Ge", "Ge", "Os", "Os"], "frac_coords": [[0.750, 0.529, 0.648], [0.250, 0.471, 0.352], [0.750, 0.918, 0.140], [0.250, 0.082, 0.860], [0.750, 0.361, 0.059], [0.250, 0.639, 0.941], [0.750, 0.746, 0.258], [0.250, 0.254, 0.742], [0.750, 0.128, 0.485], [0.250, 0.872, 0.515], [0.750, 0.779, 0.735], [0.250, 0.221, 0.265], [0.750, 0.445, 0.855], [0.250, 0.555, 0.145], [0.750, 0.661, 0.469], [0.250, 0.339, 0.531], [0.750, 0.125, 0.066], [0.250, 0.875, 0.934], [0.750, 0.008, 0.672], [0.250, 0.992, 0.328]]}

=====

No. 6
{"formula": "Pa2Ge8Os", "functional": "PBE", "state": "relaxed", "ef_ev_per_atom": -0.323, "dos_ef_per_ev_cell": 4.258, "lattice": [[-0.369, 2.016, -3.816], [2.995, -2.638, -1.683], [-7.961, -7.129, -2.997]], "species": ["Ge", "Ge", "Ge", "Ge", "Ge", "Ge", "Ge", "Ge", "Pa", "Pa", "Os"], "frac_coords": [[0.000, 0.500, 0.500], [0.500, 0.000, 0.500], [0.500, 0.500, 0.309], [0.500, 0.500, 0.691], [0.000, 0.500, 0.125], [0.500, 0.000, 0.125], [0.000, 0.500, 0.875], [0.500, 0.000, 0.875], [0.000, 0.000, 0.314], [0.000, 0.000, 0.686], [0.000, 0.000, 0.000]]}

=====

No. 7
{"formula": "Pa3Ge3Os2", "functional": "PBE", "state": "relaxed", "ef_ev_per_atom": -0.457, "dos_ef_per_ev_cell": 39.647, "lattice": [[-1.472, -5.356, -0.784], [5.810, -0.860, -5.039], [9.085, -4.134, 11.181]], "species": ["Pa", "Pa", "Pa", "Pa", "Pa", "Pa", "Pa", "Pa", "Pa", "Pa", "Pa", "Pa", "Ge", "Ge", "Ge", "Ge", "Ge", "Ge", "Ge", "Ge", "Ge", "Ge", "Ge", "Ge", "Os", "Os", "Os", "Os", "Os", "Os", "Os", "Os"], "frac_coords": [[0.118, 0.464, 0.394], [0.618, 0.036, 0.606], [0.882, 0.536, 0.894], [0.382, 0.964, 0.106], [0.882, 0.536, 0.606], [0.382, 0.964, 0.394], [0.118, 0.464, 0.106], [0.618, 0.036, 0.894], [0.643, 0.326, 0.250], [0.143, 0.174, 0.750], [0.357, 0.674, 0.750], [0.857, 0.826, 0.250], [0.147, 0.183, 0.250], [0.647, 0.317, 0.750], [0.853, 0.817, 0.750], [0.353, 0.683, 0.250], [0.611, 0.310, 0.465], [0.111, 0.190, 0.535], [0.389, 0.690, 0.965], [0.889, 0.810, 0.035], [0.389, 0.690, 0.535], [0.889, 0.810, 0.465], [0.611, 0.310, 0.035], [0.111, 0.190, 0.965], [0.886, 0.098, 0.384], [0.386, 0.402, 0.616], [0.114, 0.902, 0.884], [0.614, 0.598, 0.116], [0.114, 0.902, 0.616], [0.614, 0.598, 0.384], [0.886, 0.098, 0.116], [0.386, 0.402, 0.884]]}

=====

No. 8
{"formula": "Pa3GeOs", "functional": "PBE", "state": "relaxed", "ef_ev_per_atom": -0.299, "dos_ef_per_ev_cell": 15.968, "lattice": [[-0.872, 3.466, 2.682], [0.462, -4.556, 6.040], [7.349, -0.443, -4.490]], "species": ["Pa", "Pa", "Pa", "Pa", "Pa", "Pa", "Ge", "Ge", "Os", "Os"], "frac_coords": [[0.398, 0.375, 0.648], [0.785, 0.204, 0.035], [0.899, 0.026, 0.648], [0.602, 0.625, 0.352], [0.101, 0.974, 0.352], [0.215, 0.796, 0.965], [0.424, 0.781, 0.674], [0.576, 0.219, 0.326], [0.162, 0.377, 0.912], [0.838, 0.623, 0.088]]}